No. 1
# Sr3U3MnN8 | Alexandria | PBE | relaxed
data_Sr3U3MnN8
_cell_length_a 12.2564
_cell_length_b 6.7234
_cell_length_c 7.1336
_cell_angle_alpha 90.00
_cell_angle_beta 123.92
_cell_angle_gamma 90.00
_space_group_name_H-M_alt 'C 1 2/m 1'
_space_group_IT_number 12
loop_
_space_group_symop_operation_xyz
'x,y,z'
'-x,-y,-z'
'-x,y,-z'
'x,-y,z'
'x+1/2,y+1/2,z'
'-x+1/2,-y+1/2,-z'
'-x+1/2,y+1/2,-z'
'x+1/2,-y+1/2,z'
loop_
_atom_site_label
_atom_site_fract_x
_atom_site_fract_y
_atom_site_fract_z
_atom_site_occupancy
Sr1 0.0000 0.0000 0.0000 1
Sr2 0.2500 0.2500 0.0000 1
U1 0.0000 0.5000 0.5000 1
U2 0.2500 0.2500 0.5000 1
Mn1 0.0000 0.0000 0.5000 1
N1 0.0220 0.2390 0.3308 1
N2 0.2351 0.5000 0.7041 1
N3 0.2418 0.5000 0.2989 1
# crystal system: monoclinic
# formation energy without anion corrections: -0.959 eV/atom
# size of the total moment: 5.96 μB per formula unit

No. 2
# LiUSnAu | Alexandria | PBE | relaxed
data_LiUSnAu
_cell_length_a 7.0916
_cell_length_b 7.0916
_cell_length_c 7.0916
_cell_angle_alpha 90.00
_cell_angle_beta 90.00
_cell_angle_gamma 90.00
_space_group_name_H-M_alt 'F -4 3 m'
_space_group_IT_number 216
_space_group_name_Hall 'F -4 2 3'
loop_
_atom_site_label
_atom_site_fract_x
_atom_site_fract_y
_atom_site_fract_z
_atom_site_occupancy
Li1 0.0000 0.0000 0.0000 1
U1 0.0000 0.0000 0.5000 1
Sn1 0.2500 0.2500 0.2500 1
Au1 0.2500 0.2500 0.7500 1
# DFT formation energy: -0.56 eV/f.u.
# crystal system: cubic
# size of the total moment: 2.58 μB per formula unit

No. 3
# CdBiSe2Br | Alexandria | PBE | relaxed
data_CdBiSe2Br
_cell_length_a 10.1053
_cell_length_b 4.1869
_cell_length_c 13.4963
_cell_angle_alpha 90.00
_cell_angle_beta 90.00
_cell_angle_gamma 90.00
_space_group_name_H-M_alt 'P n m a'
_space_group_IT_number 62
loop_
_space_group_symop_operation_xyz
'x,y,z'
'-x,-y,-z'
'-x+1/2,-y,z+1/2'
'x+1/2,y,-z+1/2'
'x+1/2,-y+1/2,-z+1/2'
'-x+1/2,y+1/2,z+1/2'
'-x,y+1/2,-z'
'x,-y+1/2,z'
loop_
_atom_site_label
_atom_site_fract_x
_atom_site_fract_y
_atom_site_fract_z
_atom_site_occupancy
Cd1 0.0026 0.2500 0.2371 1
Bi1 0.1892 0.7500 0.4712 1
Se1 0.0583 0.2500 0.6122 1
Se2 0.2451 0.2500 0.3316 1
Br1 0.0725 0.7500 0.1074 1
# crystal system: orthorhombic
# formation energy without anion corrections: -0.554 eV/atom
# size of the total moment: 0.00 μB per formula unit

Please write out number 1 again, unchanged.
# Sr3U3MnN8 | Alexandria | PBE | relaxed
data_Sr3U3MnN8
_cell_length_a 12.2564
_cell_length_b 6.7234
_cell_length_c 7.1336
_cell_angle_alpha 90.00
_cell_angle_beta 123.92
_cell_angle_gamma 90.00
_space_group_name_H-M_alt 'C 1 2/m 1'
_space_group_IT_number 12
loop_
_space_group_symop_operation_xyz
'x,y,z'
'-x,-y,-z'
'-x,y,-z'
'x,-y,z'
'x+1/2,y+1/2,z'
'-x+1/2,-y+1/2,-z'
'-x+1/2,y+1/2,-z'
'x+1/2,-y+1/2,z'
loop_
_atom_site_label
_atom_site_fract_x
_atom_site_fract_y
_atom_site_fract_z
_atom_site_occupancy
Sr1 0.0000 0.0000 0.0000 1
Sr2 0.2500 0.2500 0.0000 1
U1 0.0000 0.5000 0.5000 1
U2 0.2500 0.2500 0.5000 1
Mn1 0.0000 0.0000 0.5000 1
N1 0.0220 0.2390 0.3308 1
N2 0.2351 0.5000 0.7041 1
N3 0.2418 0.5000 0.2989 1
# crystal system: monoclinic
# formation energy without anion corrections: -0.959 eV/atom
# size of the total moment: 5.96 μB per formula unit